[1]
# RbCu2SeS

An optimized crystal structure of RbCu2SeS (GGA-PBE, OQMD).

## Properties
SG: I4mm, No. 107
Electronic total energy: -0.13793 hartree per atom
Volume: 21.71 A^3/atom

Cell: 7.5526 7.5526 7.5526 Å, 149.82 149.82 43.20°
Element x y z (fractional)
Cu 0.7559 0.2559 0.5000
Cu 0.2559 0.7559 0.5000
Rb 0.4925 0.4925 0.0000
S 0.8476 0.8476 0.0000
Se 0.1482 0.1482 0.0000



[2]
# RbCuSiSe2S

An optimized crystal structure of RbCuSiSe2S (GGA-PBE, OQMD).

## Properties
SG: Cmcm, No. 63
Electronic total energy: -0.14621 hartree per atom
Volume: 23.13 A^3/atom

Cell: 7.8099 7.8099 10.0757 Å, 90.00 90.00 153.16°
Element x y z (fractional)
Cu 0.5465 0.4535 0.7500
Cu 0.4535 0.5465 0.2500
Se 0.6130 0.3870 0.5343
Se 0.3870 0.6130 0.0343
Se 0.3870 0.6130 0.4657
Se 0.6130 0.3870 0.9657
S 0.0443 0.9557 0.2500
S 0.9557 0.0443 0.7500
Rb 0.7365 0.2635 0.2500
Rb 0.2635 0.7365 0.7500
Si 0.0000 0.0000 0.5000
Si 0.0000 0.0000 0.0000



[3]
# RbCuSiSeS2

An optimized crystal structure of RbCuSiSeS2 (GGA-PBE, OQMD).

## Properties
SG: Cmcm, No. 63
Electronic total energy: -0.15134 hartree per atom
Volume: 22.31 A^3/atom

Cell: 7.8461 7.8461 10.0125 Å, 90.00 90.00 154.26°
Element x y z (fractional)
Se 0.4461 0.5540 0.7500
Se 0.5540 0.4461 0.2500
Cu 0.9427 0.0573 0.2500
Cu 0.0573 0.9427 0.7500
S 0.1041 0.8959 0.9618
S 0.1041 0.8959 0.5382
S 0.8959 0.1041 0.4618
S 0.8959 0.1041 0.0382
Rb 0.7533 0.2467 0.7500
Rb 0.2467 0.7533 0.2500
Si 0.5000 0.5000 0.0000
Si 0.5000 0.5000 0.5000



[4]
# RbSm2Cu3Se4S

An optimized crystal structure of RbSm2Cu3Se4S (GGA-PBE, OQMD).

## Properties
SG: Cmcm, No. 63
Electronic total energy: -0.17457 hartree per atom
Volume: 23.89 A^3/atom

Cell: 7.6239 7.6239 17.2975 Å, 90.00 90.00 148.48°
Element x y z (fractional)
Se 0.0562 0.9438 0.3840
Se 0.6638 0.3362 0.9284
Se 0.0562 0.9438 0.1160
Se 0.9438 0.0562 0.6160
Se 0.3362 0.6638 0.4284
Se 0.6638 0.3362 0.5716
Se 0.3362 0.6638 0.0716
Se 0.9438 0.0562 0.8840
Sm 0.6924 0.3076 0.4055
Sm 0.3076 0.6924 0.9055
Sm 0.3076 0.6924 0.5945
Sm 0.6924 0.3076 0.0945
Cu 0.0851 0.9149 0.9725
Cu 0.8350 0.1650 0.7500
Cu 0.0851 0.9149 0.5275
Cu 0.9149 0.0851 0.4725
Cu 0.9149 0.0851 0.0275
Cu 0.1650 0.8350 0.2500
S 0.7337 0.2663 0.2500
S 0.2663 0.7337 0.7500
Rb 0.4333 0.5667 0.2500
Rb 0.5667 0.4333 0.7500



[5]
# RbSm2CuSe3S

An optimized crystal structure of RbSm2CuSe3S (GGA-PBE, OQMD).

## Properties
SG: Cmcm, No. 63
Electronic total energy: -0.18851 hartree per atom
Volume: 27.02 A^3/atom
Polymorph energy (0 for the lowest one): 0 meV/atom

Cell: 7.5023 7.5023 14.4083 Å, 90.00 90.00 147.79°
Element x y z (fractional)
Sm 0.6345 0.3655 0.0671
Sm 0.3655 0.6345 0.5671
Sm 0.6345 0.3655 0.4329
Sm 0.3655 0.6345 0.9329
S 0.4235 0.5765 0.7500
S 0.5765 0.4235 0.2500
Se 0.0000 0.0000 0.5000
Se 0.2653 0.7347 0.3865
Se 0.2653 0.7347 0.1135
Se 0.7347 0.2653 0.8865
Se 0.0000 0.0000 0.0000
Se 0.7347 0.2653 0.6135
Cu 0.8406 0.1594 0.7500
Cu 0.1594 0.8406 0.2500
Rb 0.1008 0.8992 0.7500
Rb 0.8992 0.1008 0.2500



[6]
# RbSm2CuSeS3

An optimized crystal structure of RbSm2CuSeS3 (GGA-PBE, OQMD).

## Properties
SG: Cmcm, No. 63
Electronic total energy: -0.19671 hartree per atom
Volume: 25.42 A^3/atom

Cell: 7.3438 7.3438 14.1386 Å, 90.00 90.00 147.76°
Element x y z (fractional)
S 0.7420 0.2580 0.3900
S 0.0000 0.0000 0.0000
S 0.7420 0.2580 0.1100
S 0.2580 0.7420 0.8900
S 0.2580 0.7420 0.6100
S 0.0000 0.0000 0.5000
Rb 0.1146 0.8854 0.2500
Rb 0.8854 0.1146 0.7500
Se 0.5687 0.4313 0.7500
Se 0.4313 0.5687 0.2500
Cu 0.1682 0.8318 0.7500
Cu 0.8318 0.1682 0.2500
Sm 0.3657 0.6343 0.0579
Sm 0.6343 0.3657 0.5579
Sm 0.6343 0.3657 0.9421
Sm 0.3657 0.6343 0.4421



[7]
# RbSm2CuSe3S

An optimized crystal structure of RbSm2CuSe3S (GGA-PBE, OQMD).

## Properties
SG: Cmcm, No. 63
Electronic total energy: -0.18787 hartree per atom
Volume: 27.07 A^3/atom
Polymorph energy (0 for the lowest one): 18 meV/atom

Cell: 7.4685 7.4685 14.5680 Å, 90.00 90.00 147.79°
Element x y z (fractional)
Se 0.7386 0.2614 0.3890
Se 0.2614 0.7386 0.6110
Se 0.2614 0.7386 0.8890
Se 0.7386 0.2614 0.1110
Se 0.4327 0.5673 0.2500
Se 0.5673 0.4327 0.7500
Sm 0.6293 0.3707 0.9390
Sm 0.6293 0.3707 0.5610
Sm 0.3707 0.6293 0.4390
Sm 0.3707 0.6293 0.0610
Cu 0.8385 0.1615 0.2500
Cu 0.1615 0.8385 0.7500
Rb 0.1126 0.8874 0.2500
Rb 0.8874 0.1126 0.7500
S 0.0000 0.0000 0.5000
S 0.0000 0.0000 0.0000



[8]
# RbCuSnSe2S

An optimized crystal structure of RbCuSnSe2S (GGA-PBE, OQMD).

## Properties
SG: Cmcm, No. 63
Electronic total energy: -0.14136 hartree per atom
Volume: 26.08 A^3/atom

Cell: 7.7278 7.7278 10.6973 Å, 90.00 90.00 150.66°
Element x y z (fractional)
Rb 0.7308 0.2692 0.7500
Rb 0.2692 0.7308 0.2500
Se 0.6248 0.3752 0.0494
Se 0.3752 0.6248 0.5494
Se 0.6248 0.3752 0.4506
Se 0.3752 0.6248 0.9506
Sn 0.0000 0.0000 0.0000
Sn 0.0000 0.0000 0.5000
S 0.9553 0.0447 0.2500
S 0.0447 0.9553 0.7500
Cu 0.5419 0.4581 0.2500
Cu 0.4581 0.5419 0.7500



[9]
# RbCuSnSeS2

An optimized crystal structure of RbCuSnSeS2 (GGA-PBE, OQMD).

## Properties
SG: Cmcm, No. 63
Electronic total energy: -0.14528 hartree per atom
Volume: 25.91 A^3/atom

Cell: 7.8461 7.8461 10.6399 Å, 90.00 90.00 151.66°
Element x y z (fractional)
Se 0.0598 0.9402 0.2500
Se 0.9402 0.0598 0.7500
Cu 0.5450 0.4550 0.7500
Cu 0.4550 0.5450 0.2500
S 0.3872 0.6128 0.0573
S 0.6128 0.3872 0.9427
S 0.3872 0.6128 0.4427
S 0.6128 0.3872 0.5573
Rb 0.7492 0.2508 0.2500
Rb 0.2508 0.7492 0.7500
Sn 0.0000 0.0000 0.5000
Sn 0.0000 0.0000 0.0000



[10]
# RbTb2Cu3Se4S

An optimized crystal structure of RbTb2Cu3Se4S (GGA-PBE, OQMD).

## Properties
SG: Cmcm, No. 63
Electronic total energy: -0.17434 hartree per atom
Volume: 23.00 A^3/atom

Cell: 7.5653 7.5653 16.9610 Å, 90.00 90.00 148.59°
Element x y z (fractional)
Se 0.1659 0.8341 0.5720
Se 0.8341 0.1659 0.0720
Se 0.5576 0.4424 0.1177
Se 0.1659 0.8341 0.9280
Se 0.4424 0.5576 0.6177
Se 0.5576 0.4424 0.3823
Se 0.4424 0.5576 0.8823
Se 0.8341 0.1659 0.4280
Cu 0.5853 0.4147 0.5282
Cu 0.4147 0.5853 0.4718
Cu 0.4147 0.5853 0.0282
Cu 0.3379 0.6621 0.7500
Cu 0.5853 0.4147 0.9718
Cu 0.6621 0.3379 0.2500
Rb 0.0670 0.9330 0.7500
Rb 0.9330 0.0670 0.2500
Tb 0.8078 0.1922 0.9049
Tb 0.1922 0.8078 0.0951
Tb 0.8078 0.1922 0.5951
Tb 0.1922 0.8078 0.4049
S 0.7636 0.2364 0.7500
S 0.2364 0.7636 0.2500



[11]
# RbTb2CuSe3S

An optimized crystal structure of RbTb2CuSe3S (GGA-PBE, OQMD).

## Properties
SG: Cmcm, No. 63
Electronic total energy: -0.18783 hartree per atom
Volume: 26.05 A^3/atom

Cell: 7.4138 7.4138 14.2501 Å, 90.00 90.00 147.85°
Element x y z (fractional)
S 0.4233 0.5767 0.2500
S 0.5767 0.4233 0.7500
Tb 0.3661 0.6339 0.4322
Tb 0.6339 0.3661 0.9322
Tb 0.6339 0.3661 0.5678
Tb 0.3661 0.6339 0.0678
Se 0.2642 0.7358 0.6110
Se 0.0000 0.0000 0.5000
Se 0.7358 0.2642 0.1110
Se 0.2642 0.7358 0.8890
Se 0.0000 0.0000 0.0000
Se 0.7358 0.2642 0.3890
Cu 0.8401 0.1599 0.2500
Cu 0.1599 0.8401 0.7500
Rb 0.8979 0.1021 0.7500
Rb 0.1021 0.8979 0.2500



[12]
# RbCuTcSeS2

An optimized crystal structure of RbCuTcSeS2 (GGA-PBE, OQMD).

## Properties
SG: Cmcm, No. 63
Electronic total energy: -0.18208 hartree per atom
Volume: 22.54 A^3/atom

Cell: 7.9103 7.9103 9.6575 Å, 90.00 90.00 153.41°
Site moments in Bohr magnetons follow the coordinates.
Element x y z (fractional)
S 0.1050 0.8950 0.4542  0.07
S 0.8950 0.1050 0.5458  0.07
S 0.8950 0.1050 0.9542  0.07
S 0.1050 0.8950 0.0458  0.07
Se 0.4305 0.5695 0.2500  0.02
Se 0.5695 0.4305 0.7500  0.02
Tc 0.5000 0.5000 0.0000  1.77
Tc 0.5000 0.5000 0.5000  1.76
Cu 0.9654 0.0346 0.7500  0.12
Cu 0.0346 0.9654 0.2500  0.12
Rb 0.7392 0.2608 0.2500  0.01
Rb 0.2608 0.7392 0.7500  0.01



[13]
# RbTm2Cu3Se4S

An optimized crystal structure of RbTm2Cu3Se4S (GGA-PBE, OQMD).

## Properties
SG: Cmcm, No. 63
Electronic total energy: -0.17293 hartree per atom
Volume: 22.43 A^3/atom

Cell: 7.5351 7.5351 16.7784 Å, 90.00 90.00 148.79°
Element x y z (fractional)
Rb 0.9326 0.0674 0.2500
Rb 0.0674 0.9326 0.7500
Cu 0.4152 0.5848 0.4711
Cu 0.6620 0.3380 0.2500
Cu 0.5848 0.4152 0.9711
Cu 0.3380 0.6620 0.7500
Cu 0.4152 0.5848 0.0289
Cu 0.5848 0.4152 0.5289
Se 0.1688 0.8312 0.5713
Se 0.8312 0.1688 0.0713
Se 0.8312 0.1688 0.4287
Se 0.4404 0.5596 0.6182
Se 0.4404 0.5596 0.8818
Se 0.1688 0.8312 0.9287
Se 0.5596 0.4404 0.3818
Se 0.5596 0.4404 0.1182
Tm 0.8077 0.1923 0.5958
Tm 0.8077 0.1923 0.9042
Tm 0.1923 0.8077 0.4042
Tm 0.1923 0.8077 0.0958
S 0.7620 0.2380 0.7500
S 0.2380 0.7620 0.2500



[14]
# RbTm2Cu3SeS4

An optimized crystal structure of RbTm2Cu3SeS4 (GGA-PBE, OQMD).

## Properties
SG: Cmcm, No. 63
Electronic total energy: -0.18159 hartree per atom
Volume: 20.55 A^3/atom

Cell: 7.2178 7.2178 16.5235 Å, 90.00 90.00 148.32°
Element x y z (fractional)
Se 0.7558 0.2442 0.2500
Se 0.2442 0.7558 0.7500
S 0.5618 0.4382 0.6123
S 0.8304 0.1696 0.9303
S 0.4382 0.5618 0.1123
S 0.8304 0.1696 0.5697
S 0.1696 0.8304 0.0697
S 0.1696 0.8304 0.4303
S 0.4382 0.5618 0.3877
S 0.5618 0.4382 0.8877
Cu 0.3536 0.6464 0.2500
Cu 0.5844 0.4156 0.0376
Cu 0.6464 0.3536 0.7500
Cu 0.4156 0.5844 0.9624
Cu 0.4156 0.5844 0.5376
Cu 0.5844 0.4156 0.4624
Rb 0.9386 0.0614 0.7500
Rb 0.0614 0.9386 0.2500
Tm 0.1902 0.8098 0.9101
Tm 0.1902 0.8098 0.5899
Tm 0.8098 0.1902 0.4101
Tm 0.8098 0.1902 0.0899



[15]
# RbCuWSeS2

An optimized crystal structure of RbCuWSeS2 (GGA-PBE, OQMD).

## Properties
SG: Cmcm, No. 63
Electronic total energy: -0.19740 hartree per atom
Volume: 23.07 A^3/atom

Cell: 7.8313 7.8313 9.6719 Å, 90.00 90.00 152.18°
Site moments in Bohr magnetons follow the coordinates.
Element x y z (fractional)
Cu 0.0283 0.9717 0.2500  0.04
Cu 0.9717 0.0283 0.7500  0.04
W 0.5000 0.5000 0.5000  1.45
W 0.5000 0.5000 0.0000  1.45
Rb 0.2634 0.7366 0.7500  0.00
Rb 0.7366 0.2634 0.2500  0.00
S 0.1032 0.8968 0.4506  0.01
S 0.8968 0.1032 0.5494  0.01
S 0.1032 0.8968 0.0494  0.01
S 0.8968 0.1032 0.9506  0.01
Se 0.5733 0.4267 0.7500  0.00
Se 0.4267 0.5733 0.2500  0.00



[16]
# RbZrCuSeS2

An optimized crystal structure of RbZrCuSeS2 (GGA-PBE, OQMD).

## Properties
SG: Cmcm, No. 63
Electronic total energy: -0.19738 hartree per atom
Volume: 24.39 A^3/atom

Cell: 7.8711 7.8711 10.0644 Å, 90.00 90.00 152.01°
Element x y z (fractional)
Cu 0.5314 0.4686 0.7500
Cu 0.4686 0.5314 0.2500
Rb 0.2434 0.7566 0.7500
Rb 0.7566 0.2434 0.2500
S 0.3897 0.6103 0.4430
S 0.6103 0.3897 0.5570
S 0.3897 0.6103 0.0570
S 0.6103 0.3897 0.9430
Se 0.9295 0.0705 0.7500
Se 0.0705 0.9295 0.2500
Zr 0.0000 0.0000 0.5000
Zr 0.0000 0.0000 0.0000



[17]
# Rb4CuSi2S7

An optimized crystal structure of Rb4CuSi2S7 (GGA-PBE, OQMD).

## Properties
SG: P-1, No. 2
Electronic total energy: -0.15825 hartree per atom
Volume: 30.46 A^3/atom

Cell: 7.2480 8.4215 8.7149 Å, 110.36 114.51 98.47°
Element x y z (fractional)
S 0.2917 0.0122 0.7682
S 0.0741 0.7938 0.2959
S 0.9259 0.2062 0.7041
S 0.6176 0.5877 0.8319
S 0.7083 0.9878 0.2318
S 0.3824 0.4123 0.1681
S 0.0000 0.0000 0.0000
Rb 0.4299 0.2063 0.4376
Rb 0.7899 0.3416 0.0891
Rb 0.5701 0.7937 0.5624
Rb 0.2101 0.6584 0.9108
Cu 0.0000 0.0000 0.5000
Si 0.8283 0.8248 0.0763
Si 0.1717 0.1752 0.9237



[18]
# RbCuSiTeS2

An optimized crystal structure of RbCuSiTeS2 (GGA-PBE, OQMD).

## Properties
SG: Cmcm, No. 63
Electronic total energy: -0.14631 hartree per atom
Volume: 24.82 A^3/atom

Cell: 8.2765 8.2765 10.5733 Å, 90.00 90.00 155.72°
Element x y z (fractional)
Te 0.9349 0.0651 0.2500
Te 0.0651 0.9349 0.7500
Rb 0.7625 0.2375 0.7500
Rb 0.2375 0.7625 0.2500
S 0.4016 0.5984 0.9518
S 0.4016 0.5984 0.5482
S 0.5984 0.4016 0.4518
S 0.5984 0.4016 0.0482
Si 0.0000 0.0000 0.5000
Si 0.0000 0.0000 0.0000
Cu 0.5586 0.4415 0.2500
Cu 0.4415 0.5586 0.7500